1.
PBE-GGA CsSmSO, optimized geometry; distance to the lowest polymorph of the same formula = 284 meV per atom; space-group type = P4/nmm; total moment = 0.00 μB/cell
1.0
4.742 0.000 0.000
0.000 4.742 0.000
0.000 0.000 10.872
Cs Sm S O
2 2 2 2
Cartesian
1.186 3.557 0.000
3.557 1.186 0.000
1.186 1.186 4.759
3.557 3.557 6.114
1.186 1.186 2.211
3.557 3.557 8.662
1.186 3.557 5.436
3.557 1.186 5.436

---

2.
PBE-GGA ZnPbSO, optimized geometry; distance to the lowest polymorph of the same formula = 341 meV per atom; space-group type = R-3m
1.0
1.841 1.063 12.386
-1.841 1.063 12.386
0.000 -2.126 12.386
Zn Pb S O
2 2 2 2
Cartesian
0.000 0.000 5.182
0.000 0.000 31.977
0.000 0.000 10.936
0.000 0.000 26.222
0.000 0.000 15.388
0.000 0.000 21.770
0.000 0.000 7.219
0.000 0.000 29.940